Density functional theory data (PBE-GGA) for an optimized crystal structure of IrPtRhAu2. Values from VASP.

Quantum ESPRESSO input file:
```
&SYSTEM
  ibrav = 0, nat = 5, ntyp = 4
/
ATOMIC_SPECIES
Pt 195.08 Pt.upf
Au 196.97 Au.upf
Ir 192.22 Ir.upf
Rh 102.91 Rh.upf
ATOMIC_POSITIONS angstrom
Pt 0.0000 0.0000 0.0000
Au 0.0000 0.0000 2.5087
Au 2.5087 0.0000 0.0000
Ir 0.0000 2.3429 0.0000
Rh 2.5087 2.3429 2.5087
CELL_PARAMETERS angstrom
5.0175 0.0000 0.0000
0.0000 4.6858 0.0000
0.0000 0.0000 5.0175
```

Energy of formation   1.6082 eV per atom

Density functional theory data (PBE-GGA) for an optimized crystal structure of TaCrTe4. Values from VASP.

Quantum ESPRESSO input file:
```
&SYSTEM
  ibrav = 0, nat = 6, ntyp = 3
/
ATOMIC_SPECIES
Te 127.60 Te.upf
Cr 52.00 Cr.upf
Ta 180.95 Ta.upf
ATOMIC_POSITIONS angstrom
Te -4.5914 6.8010 1.6425
Te -1.7683 7.8402 2.3316
Te -3.3799 6.2464 4.4262
Cr -4.4946 9.6391 3.8765
Ta 0.0000 0.0000 0.0000
Te -2.2460 4.8168 1.9372
CELL_PARAMETERS angstrom
-2.2639 2.8542 4.9696
0.9538 6.0364 0.7876
-4.6827 3.9616 -0.5884
```

Formation energy without anion corrections   7.7 eV/f.u.
Energy above the lowest structure with this stoichiometry   1548.9 meV per atom

Density functional theory data (PBE-GGA) for an optimized crystal structure of Tb2NdEr4. Values from VASP.

Quantum ESPRESSO input file:
```
&SYSTEM
  ibrav = 0, nat = 7, ntyp = 3
/
ATOMIC_SPECIES
Tb 158.93 Tb.upf
Nd 144.24 Nd.upf
Er 167.26 Er.upf
ATOMIC_POSITIONS angstrom
Tb 0.0496 3.5464 5.4714
Nd 0.0000 0.0000 0.0000
Er 1.7820 1.6515 2.8413
Er 0.0282 0.2497 5.6032
Er 0.0370 4.9573 2.1530
Tb 1.7695 3.0624 -0.4772
Er 1.7909 6.3591 -0.6090
CELL_PARAMETERS angstrom
3.5176 -0.0177 -0.0181
-1.7379 7.8309 -3.5991
0.0393 -1.2043 8.6115
```

Energy of formation   0.0346 eV per atom
Energy above the lowest structure with this stoichiometry   23.8 meV per atom

Density functional theory data (PBE-GGA) for an optimized crystal structure of CeSmCu. Values from VASP.

Quantum ESPRESSO input file:
```
&SYSTEM
  ibrav = 0, nat = 3, ntyp = 3
/
ATOMIC_SPECIES
Ce 140.12 Ce.upf
Cu 63.55 Cu.upf
Sm 150.36 Sm.upf
ATOMIC_POSITIONS angstrom
Ce 1.1273 0.0000 2.7458
Cu 0.0368 0.0000 0.0000
Sm 2.4549 2.3779 1.3729
CELL_PARAMETERS angstrom
3.6190 0.0000 0.0000
0.0000 4.7558 0.0000
0.0000 -2.3779 4.1187
```

Energy of formation   0.1141 eV per atom
Energy above the lowest structure with this stoichiometry   120.8 meV per atom

Number 1: total magnetization 1.2 μB per formula unit. Number 2: total magnetization 2.2 μB per formula unit. Number 3: total magnetization 0.0 μB per formula unit. Number 4: total magnetization 0.0 μB per formula unit.